Record 1
# CdSbO | Alexandria | GGA-PBE | optimized geometry
data_CdSbO
_cell_length_a 4.028
_cell_length_b 4.029
_cell_length_c 8.515
_cell_angle_alpha 89.99
_cell_angle_beta 90.05
_cell_angle_gamma 90.00
_symmetry_space_group_name_H-M 'P 1'
_symmetry_Int_Tables_number 1
_symmetry_space_group_name_Hall 'P 1'
loop_
_atom_site_label
_atom_site_fract_x
_atom_site_fract_y
_atom_site_fract_z
Cd1 0.041 0.294 0.270
Cd2 0.542 0.792 0.646
Sb1 0.540 0.794 0.022
Sb2 0.042 0.292 0.595
O1 0.541 0.294 0.119
O2 0.041 0.794 0.119
# ΔE_f (raw): -0.6433 eV per atom
# ΔE to the lowest computed polymorph: 0.0 meV/atom
# Total moment: 0.000 μB per formula unit
# Density of states at the Fermi level: 2.46 states/eV per cell
# Space-group type: Cm



Record 2
# YPb2C | Alexandria | GGA-PBE | optimized geometry
data_YPb2C
_cell_length_a 9.151
_cell_length_b 9.151
_cell_length_c 6.926
_cell_angle_alpha 48.65
_cell_angle_beta 48.65
_cell_angle_gamma 90.00
_symmetry_space_group_name_H-M 'P 1'
_symmetry_Int_Tables_number 1
_symmetry_space_group_name_Hall 'P 1'
loop_
_atom_site_label
_atom_site_fract_x
_atom_site_fract_y
_atom_site_fract_z
Pb1 0.506 0.125 0.250
Pb2 0.244 0.625 0.250
Pb3 0.375 0.494 0.750
Pb4 0.875 0.756 0.750
Y1 0.000 0.000 0.000
Y2 0.750 0.250 0.500
C1 0.500 0.500 0.000
C2 0.250 0.750 0.500
# ΔH_f (0 K): 0.551 eV per atom
# Total moment: 0.000 μB per formula unit
# Density of states at the Fermi level: 5.50 states/eV per cell
# Space-group type: I-42d



Record 3
# Zn7PtAu12 | Alexandria | GGA-PBE | optimized geometry
data_Zn7PtAu12
_cell_length_a 7.332
_cell_length_b 7.332
_cell_length_c 7.332
_cell_angle_alpha 104.24
_cell_angle_beta 104.24
_cell_angle_gamma 104.24
_symmetry_space_group_name_H-M 'P 1'
_symmetry_Int_Tables_number 1
_symmetry_space_group_name_Hall 'P 1'
loop_
_atom_site_label
_atom_site_fract_x
_atom_site_fract_y
_atom_site_fract_z
Zn1 0.901 0.626 0.764
Zn2 0.374 0.236 0.099
Zn3 0.236 0.099 0.374
Zn4 0.500 0.500 0.500
Zn5 0.764 0.901 0.626
Zn6 0.626 0.764 0.901
Zn7 0.099 0.374 0.236
Pt1 0.000 0.000 0.000
Au1 0.926 0.304 0.840
Au2 0.696 0.160 0.074
Au3 0.622 0.171 0.453
Au4 0.829 0.547 0.378
Au5 0.160 0.074 0.696
Au6 0.547 0.378 0.829
Au7 0.453 0.622 0.171
Au8 0.840 0.926 0.304
Au9 0.171 0.453 0.622
Au10 0.378 0.829 0.547
Au11 0.304 0.840 0.926
Au12 0.074 0.696 0.160
# ΔH_f (0 K): -0.111 eV per atom
# Total moment: 0.000 μB per formula unit
# Density of states at the Fermi level: 7.01 states/eV per cell
# Space-group type: R-3



Record 4
# KInSnSe4 | Alexandria | GGA-PBE | optimized geometry
data_KInSnSe4
_cell_length_a 8.012
_cell_length_b 12.922
_cell_length_c 18.919
_cell_angle_alpha 90.00
_cell_angle_beta 98.65
_cell_angle_gamma 90.00
_symmetry_space_group_name_H-M 'P 1'
_symmetry_Int_Tables_number 1
_symmetry_space_group_name_Hall 'P 1'
loop_
_atom_site_label
_atom_site_fract_x
_atom_site_fract_y
_atom_site_fract_z
K1 0.253 0.065 0.683
K2 0.253 0.435 0.183
K3 0.720 0.603 0.455
K4 0.280 0.397 0.545
K5 0.747 0.565 0.817
K6 0.280 0.103 0.045
K7 0.747 0.935 0.317
K8 0.720 0.897 0.955
In1 0.468 0.763 0.156
In2 0.532 0.263 0.344
In3 0.039 0.237 0.861
In4 0.961 0.763 0.139
In5 0.532 0.237 0.844
In6 0.039 0.263 0.361
In7 0.961 0.737 0.639
In8 0.468 0.737 0.656
Sn1 0.806 0.328 0.016
Sn2 0.755 0.286 0.677
Sn3 0.194 0.828 0.484
Sn4 0.245 0.714 0.323
Sn5 0.806 0.172 0.516
Sn6 0.194 0.672 0.984
Sn7 0.755 0.214 0.177
Sn8 0.245 0.786 0.823
Se1 0.462 0.185 0.212
Se2 0.810 0.404 0.143
Se3 0.255 0.863 0.951
Se4 0.255 0.637 0.451
Se5 0.810 0.096 0.643
Se6 0.538 0.815 0.788
Se7 0.897 0.844 0.517
Se8 0.000 0.127 0.257
Se9 0.291 0.390 0.362
Se10 0.435 0.902 0.574
Se11 0.000 0.373 0.757
Se12 0.709 0.610 0.638
Se13 0.538 0.685 0.288
Se14 0.103 0.156 0.483
Se15 0.709 0.890 0.138
Se16 0.897 0.656 0.017
Se17 0.785 0.390 0.351
Se18 0.190 0.904 0.357
Se19 0.291 0.110 0.862
Se20 0.462 0.315 0.712
Se21 0.435 0.598 0.074
Se22 0.565 0.098 0.426
Se23 0.215 0.890 0.149
Se24 0.000 0.627 0.243
Se25 0.745 0.137 0.049
Se26 0.215 0.610 0.649
Se27 0.190 0.596 0.857
Se28 0.103 0.344 0.983
Se29 0.745 0.363 0.549
Se30 0.565 0.402 0.926
Se31 0.785 0.110 0.851
Se32 0.000 0.873 0.743
# ΔE_f (raw): -0.6874 eV per atom
# Total moment: 0.000 μB per formula unit
# Space-group type: P2_1/c